VASP calculation (GGA-PBE) on a relaxed structure of Tb6Sm2Y3Pb. Values from VASP.

- Calculated density: 7.58 Mg/m³
- Raw total energy: -61.02 eV per cell
- ΔH_f (0 K): -0.0581 eV per atom
- Size of the total moment: 0.000 μB per cell

Cell and atoms, written as Quantum ESPRESSO input:
```
&SYSTEM
  ibrav = 0, nat = 12, ntyp = 4
/
ATOMIC_SPECIES
Tb 158.93 Tb.upf
Sm 150.36 Sm.upf
Y 88.91 Y.upf
Pb 207.20 Pb.upf
CELL_PARAMETERS angstrom
3.067 -5.315 0.000
3.067 5.315 0.000
-2.050 0.000 11.608
ATOMIC_POSITIONS angstrom
Tb -0.025 1.740 8.695
Tb 0.986 0.000 2.901
Tb -0.025 -1.740 8.695
Tb 4.108 1.740 2.913
Tb 3.097 0.000 8.707
Tb 4.108 -1.740 2.913
Sm 2.042 1.766 5.804
Sm 2.042 -1.766 5.804
Y 3.067 3.537 0.000
Y 3.067 0.000 0.000
Y 3.067 -3.537 0.000
Pb -1.025 0.000 5.804
```